First-principles (PBE-GGA) data for a relaxed structure of SrNdMg, as listed in Alexandria via LeMat-Bulk.

Cell lengths 3.9370, 3.9370, 14.0538 Å; angles 90.00, 90.00, 90.00 degrees
Last column: nearest neighbours and their distance in Å.
Space group I4mm (No. 107)
Unique sites:
1 Sr 0.0000 0.0000 0.0000  4 Mg 3.60, 4 Sr 3.94
2 Nd 0.0000 0.0000 0.2926  4 Mg 3.33
3 Mg 0.0000 0.0000 0.6620  4 Nd 3.33, 4 Sr 3.60

Summary:
Its offset from the most stable computed form is 0.0 kJ per mole of atoms. As for the energy of formation from the pure elements: 0.06 eV per formula unit. Its raw total energy is -2.6619 eV/atom. The density comes out at 3.91 g/cm3. For the calculated volume, the calculation gives 109 Å³/f.u.

---

First-principles (PBE-GGA) data for a relaxed structure of TbPmNiRu, as listed in Alexandria via LeMat-Bulk.

Cell lengths 4.0464, 4.0141, 10.6829 Å; angles 90.00, 90.00, 90.00 degrees
Last column: nearest neighbours and their distance in Å.
Space group Amm2 (No. 38)
Unique sites:
1 Tb 0.0000 0.0000 0.0000  4 Ru 2.95, 3 Ni 3.00-3.11
2 Pm 0.5000 0.0000 0.7138  4 Ni 2.97, 3 Ru 3.04-3.06
3 Ni 0.0000 0.0000 0.2913  2 Ru 2.51
4 Ru 0.5000 0.0000 0.4296  2 Ni 2.51

Summary:
Its offset from the most stable computed form is 0.0 kJ per mole of atoms. As for the energy of formation from the pure elements: -1.23 eV per formula unit. Its raw total energy is -6.4175 eV/atom. The density comes out at 8.87 g/cm3. For the calculated volume, the calculation gives 87 Å³/f.u.

---

First-principles (PBE-GGA) data for a relaxed structure of Sc3AgPt, as listed in Alexandria via LeMat-Bulk.

Cell lengths 4.7377, 17.9391, 4.7317 Å; angles 90.00, 90.00, 90.00 degrees
Last column: nearest neighbours and their distance in Å.
Space group Cmcm (No. 63)
Unique sites:
1 Sc 0.0000 0.0630 0.2500  2 Ag 2.88, 2 Pt 2.93
2 Sc 0.0000 0.2500 0.2500  4 Pt 2.87, 4 Ag 2.93
3 Sc 0.0000 0.4365 0.2500  2 Ag 2.87, 2 Pt 2.93
4 Ag 0.0000 0.1541 0.7500  8 Sc 2.87-2.93
5 Pt 0.0000 0.3404 0.7500  8 Sc 2.87-2.93

Summary:
Its offset from the most stable computed form is 0.0 kJ per mole of atoms. As for the energy of formation from the pure elements: -3.01 eV per formula unit. Its raw total energy is -6.1787 eV/atom. The density comes out at 7.23 g/cm3. For the calculated volume, the calculation gives 101 Å³/f.u.

---

First-principles (PBE-GGA) data for a relaxed structure of Dy5Ge5Pt2, as listed in Alexandria via LeMat-Bulk.

Cell lengths 15.1558, 4.2690, 10.8553 Å; angles 90.00, 130.85, 90.00 degrees
Last column: nearest neighbours and their distance in Å.
Space group C2/m (No. 12)
Unique sites:
1 Dy 0.0000 0.0000 0.0000  4 Pt 3.00, 6 Ge 3.04-3.29
2 Dy 0.1133 0.0000 0.4195  3 Pt 3.00-3.03, 7 Ge 3.08-3.20
3 Dy 0.1968 0.0000 0.8236  5 Ge 2.92-3.05, 1 Pt 3.07
4 Ge 0.0000 0.5000 0.5000  4 Ge 2.82-3.11
5 Ge 0.0630 0.5000 0.8363  1 Pt 2.56
6 Ge 0.2445 0.5000 0.6912  2 Pt 2.56, 1 Ge 2.82
7 Pt 0.1406 0.5000 0.2530  3 Ge 2.56

Summary:
As for the energy of formation from the pure elements: -11.06 eV per formula unit. Its raw total energy is -5.7701 eV/atom. The density comes out at 9.79 g/cm3. For the calculated volume, the calculation gives 266 Å³/f.u.